# 1
Ba7Ag2Pd2 | GGA-PBE | relaxed

Computed properties:
- Volume: 937.0 Å³ per cell
- Crystal system: orthorhombic
- Distance to the lowest polymorph of the same formula: 57 meV per atom
- E_form: -2.57 eV per formula unit
- Total magnetization: 0.00 Bohr magnetons per cell
- Total DFT energy (no corrections): -64.231 eV for the cell shown

Cell and atoms, written as CIF:
```
data_Ba7Ag2Pd2
_chemical_formula_sum 'Ba14 Ag4 Pd4'
_cell_length_a 9.253
_cell_length_b 12.674
_cell_length_c 7.989
_cell_angle_alpha 90.00
_cell_angle_beta 90.00
_cell_angle_gamma 90.00
_symmetry_space_group_name_H-M 'C m m m'
_symmetry_Int_Tables_number 65
_symmetry_space_group_name_Hall '-C 2 2'
loop_
_atom_site_label
_atom_site_fract_x
_atom_site_fract_y
_atom_site_fract_z
Ba1 0.000 0.000 0.000
Ba2 0.000 0.500 0.247
Ba3 0.250 0.250 0.262
Ag1 0.168 0.000 0.500
Pd1 0.000 0.287 0.000
```

***

# 2
Ba2AgPd | GGA-PBE | relaxed

Computed properties:
- Volume: 262.8 Å³ per cell
- Crystal system: orthorhombic
- Distance to the lowest polymorph of the same formula: 915 meV per atom
- E_form: 2.03 eV per formula unit
- Total magnetization: 0.00 Bohr magnetons per cell
- Total DFT energy (no corrections): -19.726 eV for the cell shown

Cell and atoms, written as CIF:
```
data_Ba2AgPd
_chemical_formula_sum 'Ba4 Ag2 Pd2'
_cell_length_a 3.566
_cell_length_b 6.126
_cell_length_c 12.027
_cell_angle_alpha 90.00
_cell_angle_beta 90.00
_cell_angle_gamma 90.00
_symmetry_space_group_name_H-M 'I m m m'
_symmetry_Int_Tables_number 71
_symmetry_space_group_name_Hall '-I 2 2'
loop_
_atom_site_label
_atom_site_fract_x
_atom_site_fract_y
_atom_site_fract_z
Ba1 0.000 0.000 0.236
Ag1 0.000 0.000 0.500
Pd1 0.000 0.000 0.000
```

***

# 3
Ba8AgPd3 | GGA-PBE | relaxed

Computed properties:
- Volume: 1151.1 Å³ per cell
- Crystal system: monoclinic
- E_form: -4.23 eV per formula unit
- Total magnetization: 0.00 Bohr magnetons per cell
- Total DFT energy (no corrections): -76.075 eV for the cell shown

Cell and atoms, written as CIF:
```
data_Ba8AgPd3
_chemical_formula_sum 'Ba16 Ag2 Pd6'
_cell_length_a 15.814
_cell_length_b 9.460
_cell_length_c 9.253
_cell_angle_alpha 90.00
_cell_angle_beta 123.74
_cell_angle_gamma 90.00
_symmetry_space_group_name_H-M 'C 1 2/m 1'
_symmetry_Int_Tables_number 12
_symmetry_space_group_name_Hall '-C 2y'
loop_
_atom_site_label
_atom_site_fract_x
_atom_site_fract_y
_atom_site_fract_z
Ba1 0.008 0.240 0.250
Ba2 0.245 0.000 0.257
Ba3 0.248 0.000 0.730
Ag1 0.000 0.500 0.000
Pd1 0.000 0.000 0.000
Pd2 0.250 0.250 0.500
```

***

# 4
Ba2Ag9Pd6 | GGA-PBE | relaxed

Computed properties:
- Volume: 382.3 Å³ per cell
- Crystal system: hexagonal
- E_form: -1.54 eV per formula unit
- Total magnetization: 0.00 Bohr magnetons per cell
- Total DFT energy (no corrections): -62.203 eV for the cell shown

Cell and atoms, written as CIF:
```
data_Ba2Ag9Pd6
_chemical_formula_sum 'Ba2 Ag9 Pd6'
_cell_length_a 5.7009
_cell_length_b 5.7009
_cell_length_c 13.5819
_cell_angle_alpha 90.00
_cell_angle_beta 90.00
_cell_angle_gamma 120.00
_symmetry_space_group_name_H-M 'P 6/m m m'
_symmetry_Int_Tables_number 191
_symmetry_space_group_name_Hall '-P 6 2'
loop_
_atom_site_label
_atom_site_fract_x
_atom_site_fract_y
_atom_site_fract_z
Ba1 0.0000 0.0000 0.1770
Ag1 0.0000 0.5000 0.0000
Ag2 0.0000 0.5000 0.3368
Pd1 0.3333 0.6667 0.1678
Pd2 0.3333 0.6667 0.5000
```

***

# 5
BaAg2Pd2 | GGA-PBE | relaxed

Computed properties:
- Volume: 212.5 Å³ per cell
- Crystal system: tetragonal
- Distance to the lowest polymorph of the same formula: 89 meV per atom
- E_form: -0.79 eV per formula unit
- Total magnetization: 0.00 Bohr magnetons per cell
- Total DFT energy (no corrections): -37.599 eV for the cell shown

Cell and atoms, written as CIF:
```
data_BaAg2Pd2
_chemical_formula_sum 'Ba2 Ag4 Pd4'
_cell_length_a 8.023
_cell_length_b 8.023
_cell_length_c 3.301
_cell_angle_alpha 90.00
_cell_angle_beta 90.00
_cell_angle_gamma 90.00
_symmetry_space_group_name_H-M 'P 4/m b m'
_symmetry_Int_Tables_number 127
_symmetry_space_group_name_Hall '-P 4 2ab'
loop_
_atom_site_label
_atom_site_fract_x
_atom_site_fract_y
_atom_site_fract_z
Ba1 0.000 0.000 0.000
Ag1 0.155 0.345 0.500
Pd1 0.135 0.635 0.000
```

***

# 6
BaAg6Pd4 | GGA-PBE | relaxed

Computed properties:
- Volume: 485.1 Å³ per cell
- Crystal system: tetragonal
- E_form: 1.30 eV per formula unit
- Total magnetization: 0.00 Bohr magnetons per cell
- Total DFT energy (no corrections): -77.010 eV for the cell shown

Cell and atoms, written as CIF:
```
data_BaAg6Pd4
_chemical_formula_sum 'Ba2 Ag12 Pd8'
_cell_length_a 6.970
_cell_length_b 6.970
_cell_length_c 9.986
_cell_angle_alpha 90.00
_cell_angle_beta 90.00
_cell_angle_gamma 90.00
_symmetry_space_group_name_H-M 'I -4 2 m'
_symmetry_Int_Tables_number 121
_symmetry_space_group_name_Hall 'I -4 2'
loop_
_atom_site_label
_atom_site_fract_x
_atom_site_fract_y
_atom_site_fract_z
Ba1 0.000 0.000 0.000
Ag1 0.000 0.500 0.000
Ag2 0.150 0.150 0.400
Pd1 0.224 0.224 0.667
```

***

# 7
Ba3Ag7Pd2 | GGA-PBE | relaxed

Computed properties:
- Volume: 869.6 Å³ per cell
- Crystal system: trigonal
- E_form: -2.66 eV per formula unit
- Total magnetization: 0.00 Bohr magnetons per cell
- Total DFT energy (no corrections): -116.311 eV for the cell shown

Cell and atoms, written as CIF:
```
data_Ba3Ag7Pd2
_chemical_formula_sum 'Ba9 Ag21 Pd6'
_cell_length_a 5.8811
_cell_length_b 5.8811
_cell_length_c 29.0325
_cell_angle_alpha 90.00
_cell_angle_beta 90.00
_cell_angle_gamma 120.00
_symmetry_space_group_name_H-M 'R -3 m'
_symmetry_Int_Tables_number 166
_symmetry_space_group_name_Hall '-R 3 2"'
loop_
_atom_site_label
_atom_site_fract_x
_atom_site_fract_y
_atom_site_fract_z
Ba1 0.0000 0.0000 0.0000
Ba2 0.0000 0.0000 0.1403
Ag1 0.0000 0.0000 0.5000
Ag2 0.0004 0.5002 0.0788
Pd1 0.0000 0.0000 0.3327
```

***

# 8
BaAgPd | GGA-PBE | relaxed

Computed properties:
- Volume: 166.9 Å³ per cell
- Crystal system: triclinic
- Distance to the lowest polymorph of the same formula: 7 meV per atom
- E_form: -1.09 eV per formula unit
- Total magnetization: 0.00 Bohr magnetons per cell
- Total DFT energy (no corrections): -22.122 eV for the cell shown

Cell and atoms, written as CIF:
```
data_BaAgPd
_chemical_formula_sum 'Ba2 Ag2 Pd2'
_cell_length_a 4.750
_cell_length_b 6.007
_cell_length_c 6.535
_cell_angle_alpha 104.99
_cell_angle_beta 111.30
_cell_angle_gamma 90.11
_symmetry_space_group_name_H-M 'P -1'
_symmetry_Int_Tables_number 2
_symmetry_space_group_name_Hall '-P 1'
loop_
_atom_site_label
_atom_site_fract_x
_atom_site_fract_y
_atom_site_fract_z
Ba1 0.114 0.300 0.229
Ag1 0.403 0.279 0.806
Pd1 0.215 0.873 0.430
```

***

# 9
Ba6AgPd2 | GGA-PBE | relaxed

Computed properties:
- Volume: 431.2 Å³ per cell
- Crystal system: trigonal
- Distance to the lowest polymorph of the same formula: 0 meV per atom
- E_form: -3.03 eV per formula unit
- Total magnetization: 0.00 Bohr magnetons per cell
- Total DFT energy (no corrections): -27.807 eV for the cell shown

Cell and atoms, written as CIF:
```
data_Ba6AgPd2
_chemical_formula_sum 'Ba6 Ag1 Pd2'
_cell_length_a 8.0515
_cell_length_b 8.0515
_cell_length_c 7.6803
_cell_angle_alpha 90.00
_cell_angle_beta 90.00
_cell_angle_gamma 120.00
_symmetry_space_group_name_H-M 'P -3 1 m'
_symmetry_Int_Tables_number 162
_symmetry_space_group_name_Hall '-P 3 2'
loop_
_atom_site_label
_atom_site_fract_x
_atom_site_fract_y
_atom_site_fract_z
Ba1 0.0000 0.3429 0.2348
Ag1 0.0000 0.0000 0.5000
Pd1 0.3333 0.6667 0.0000
```

***

# 10
BaAg2Pd4 | GGA-PBE | relaxed

Computed properties:
- Volume: 276.4 Å³ per cell
- Crystal system: tetragonal
- E_form: -1.38 eV per formula unit
- Total magnetization: 0.00 Bohr magnetons per cell
- Total DFT energy (no corrections): -59.556 eV for the cell shown

Cell and atoms, written as CIF:
```
data_BaAg2Pd4
_chemical_formula_sum 'Ba2 Ag4 Pd8'
_cell_length_a 7.101
_cell_length_b 7.101
_cell_length_c 5.482
_cell_angle_alpha 90.00
_cell_angle_beta 90.00
_cell_angle_gamma 90.00
_symmetry_space_group_name_H-M 'I 4/m m m'
_symmetry_Int_Tables_number 139
_symmetry_space_group_name_Hall '-I 4 2'
loop_
_atom_site_label
_atom_site_fract_x
_atom_site_fract_y
_atom_site_fract_z
Ba1 0.000 0.000 0.000
Ag1 0.000 0.500 0.250
Pd1 0.196 0.196 0.500
```